1.
NaZn2Cd2Au5 after structural relaxation, computed with GGA-PBE.

abc: 4.2953 9.4219 9.4219
angles: 90.00 90.00 90.00
With the nearest neighbours (Å) after each atom.
Element x y z (fractional)
Na: 0.0000 0.0000 0.0000  8 Au 2.96
Na: 0.0000 0.5000 0.5000  8 Au 2.96
Zn: 0.0000 0.1212 0.6212  6 Au 2.69-2.76, 3 Cd 2.71-2.84
Zn: 0.0000 0.8788 0.3788  6 Au 2.69-2.76, 3 Cd 2.71-2.84
Zn: 0.0000 0.6212 0.8788  6 Au 2.69-2.76, 3 Cd 2.71-2.84
Zn: 0.0000 0.3788 0.1212  6 Au 2.69-2.76, 3 Cd 2.71-2.84
Cd: 0.0000 0.6753 0.1753  3 Zn 2.71-2.84
Cd: 0.0000 0.3247 0.8247  3 Zn 2.71-2.84
Cd: 0.0000 0.1753 0.3247  3 Zn 2.71-2.84
Cd: 0.0000 0.8247 0.6753  3 Zn 2.71-2.84
Au: 0.5000 0.1997 0.0811  2 Zn 2.76, 4 Au 2.87-2.93, 2 Na 2.96
Au: 0.5000 0.8003 0.9189  2 Zn 2.76, 4 Au 2.87-2.93, 2 Na 2.96
Au: 0.5000 0.0811 0.8003  2 Zn 2.76, 4 Au 2.87-2.93, 2 Na 2.96
Au: 0.5000 0.6997 0.4189  2 Zn 2.76, 4 Au 2.87-2.93, 2 Na 2.96
Au: 0.5000 0.9189 0.1997  2 Zn 2.76, 4 Au 2.87-2.93, 2 Na 2.96
Au: 0.5000 0.3003 0.5811  2 Zn 2.76, 4 Au 2.87-2.93, 2 Na 2.96
Au: 0.5000 0.5811 0.6997  2 Zn 2.76, 4 Au 2.87-2.93, 2 Na 2.96
Au: 0.5000 0.4189 0.3003  2 Zn 2.76, 4 Au 2.87-2.93, 2 Na 2.96
Au: 0.5000 0.5000 0.0000  4 Zn 2.69, 4 Au 2.93
Au: 0.5000 0.0000 0.5000  4 Zn 2.69, 4 Au 2.93

* DFT formation energy: -0.14 eV/atom

=====

2.
CsMg3Ta after structural relaxation, computed with GGA-PBE.

abc: 5.7518 5.7518 5.7518
angles: 90.00 90.00 90.00
With the nearest neighbours (Å) after each atom.
Element x y z (fractional)
Cs: 0.5000 0.5000 0.5000  12 Mg 4.07
Mg: 0.0000 0.5000 0.0000  2 Ta 2.88
Mg: 0.0000 0.0000 0.5000  2 Ta 2.88
Mg: 0.5000 0.0000 0.0000  2 Ta 2.88
Ta: 0.0000 0.0000 0.0000  6 Mg 2.88

* DFT formation energy: 0.94 eV/atom
* polymorph energy (0 for the lowest one): 0 meV per atom

=====

3.
PtAu2Cl after structural relaxation, computed with GGA-PBE.

abc: 4.7606 4.7606 4.7606
angles: 123.27 123.27 84.42
With the nearest neighbours (Å) after each atom.
Element x y z (fractional)
Au: 0.0000 0.0000 0.0000  4 Au 2.87, 4 Pt 2.87, 4 Cl 3.20
Au: 0.2500 0.7500 0.5000  4 Cl 2.87, 4 Au 2.87, 4 Pt 3.20
Cl: 0.5000 0.5000 0.0000  4 Pt 2.87, 8 Au 2.87-3.20
Pt: 0.7500 0.2500 0.5000  4 Cl 2.87, 8 Au 2.87-3.20

* polymorph energy (0 for the lowest one): 321 meV per atom

=====

4.
RbSnSe3 after structural relaxation, computed with GGA-PBE.

abc: 7.2264 8.7475 11.2089
angles: 90.00 90.00 77.41
With the nearest neighbours (Å) after each atom.
Element x y z (fractional)
Rb: 0.7760 0.6576 0.6251  6 Se 3.39-3.59
Rb: 0.2240 0.3424 0.3749  6 Se 3.39-3.59
Rb: 0.7240 0.3424 0.1251  6 Se 3.39-3.59
Rb: 0.2760 0.6576 0.8749  6 Se 3.39-3.59
Sn: 0.0169 0.1496 0.7526  6 Se 2.70-2.92
Sn: 0.5169 0.1496 0.7474  6 Se 2.70-2.92
Sn: 0.4831 0.8504 0.2526  6 Se 2.70-2.92
Sn: 0.9831 0.8504 0.2474  6 Se 2.70-2.92
Se: 0.3280 0.9207 0.6464  1 Se 2.59, 1 Sn 2.89
Se: 0.2029 0.3672 0.6764  2 Sn 2.70-2.74
Se: 0.2092 0.9406 0.4276  1 Se 2.59, 2 Sn 2.78-2.82
Se: 0.7092 0.9406 0.0724  1 Se 2.59, 2 Sn 2.78-2.82
Se: 0.7029 0.3672 0.8236  2 Sn 2.70-2.74
Se: 0.8280 0.9207 0.8536  1 Se 2.59, 1 Sn 2.89
Se: 0.7971 0.6328 0.3236  2 Sn 2.70-2.74
Se: 0.2908 0.0594 0.9276  1 Se 2.59, 2 Sn 2.78-2.82
Se: 0.2971 0.6328 0.1764  2 Sn 2.70-2.74
Se: 0.6720 0.0793 0.3536  1 Se 2.59, 1 Sn 2.89
Se: 0.1720 0.0793 0.1464  1 Se 2.59, 1 Sn 2.89
Se: 0.7908 0.0594 0.5724  1 Se 2.59, 2 Sn 2.78-2.82

* DFT total energy: -18.2 eV per formula unit

=====

5.
Ag4Br3F after structural relaxation, computed with GGA-PBE.

abc: 6.9766 7.5121 8.6281
angles: 90.00 90.00 90.00
With the nearest neighbours (Å) after each atom.
Element x y z (fractional)
Ag: 0.1166 0.8730 0.0000  1 F 2.39
Ag: 0.6652 0.1878 0.0000  1 F 2.39
Ag: 0.1080 0.3214 0.2349  1 F 2.41
Ag: 0.6080 0.6786 0.2651  1 F 2.41
Ag: 0.1652 0.8122 0.5000  1 F 2.39
Ag: 0.6166 0.1270 0.5000  1 F 2.39
Ag: 0.6080 0.6786 0.7349  1 F 2.41
Ag: 0.1080 0.3214 0.7651  1 F 2.41
Br: 0.5072 0.8526 0.0000  4 Ag 2.73-2.75
Br: 0.0013 0.6690 0.2448  4 Ag 2.70-2.75
Br: 0.5013 0.3310 0.2552  4 Ag 2.70-2.75
Br: 0.0072 0.1474 0.5000  4 Ag 2.73-2.75
Br: 0.5013 0.3310 0.7448  4 Ag 2.70-2.75
Br: 0.0013 0.6690 0.7552  4 Ag 2.70-2.75
F: 0.0077 0.1747 0.0000  4 Ag 2.39-2.41
F: 0.5077 0.8253 0.5000  4 Ag 2.39-2.41

* DFT total energy: -22.1 eV per formula unit

=====

6.
NbH2I8 after structural relaxation, computed with GGA-PBE.

abc: 14.4681 9.5963 9.6076
angles: 102.88 123.98 124.03
With the nearest neighbours (Å) after each atom.
Element x y z (fractional)
Nb: 0.0002 0.9955 0.0052  6 I 2.73-2.89
H: 0.4683 0.2543 0.3935  1 I 1.81
H: 0.5320 0.6040 0.7461  1 I 1.82
I: 0.7973 0.0253 0.7820  1 Nb 2.73
I: 0.2038 0.2217 0.9767  1 Nb 2.73
I: 0.9297 0.4163 0.2112  1 I 2.80
I: 0.0723 0.7930 0.5868  1 I 2.80
I: 0.7792 0.7344 0.0163  1 H 2.06
I: 0.2175 0.9792 0.2598  1 H 2.08
I: 0.3205 0.5043 0.5287  1 H 1.82
I: 0.6792 0.4719 0.4937  1 H 1.81

* DFT total energy: -30.8 eV per formula unit

=====

7.
TiAlB3 after structural relaxation, computed with GGA-PBE.

abc: 3.9660 3.9660 3.9660
angles: 90.00 90.00 90.00
With the nearest neighbours (Å) after each atom.
Element x y z (fractional)
B: 0.0000 0.5000 0.0000  2 Al 1.98
B: 0.0000 0.0000 0.5000  2 Al 1.98
B: 0.5000 0.0000 0.0000  2 Al 1.98
Al: 0.0000 0.0000 0.0000  6 B 1.98
Ti: 0.5000 0.5000 0.5000  12 B 2.80

* DFT formation energy: 1.41 eV/atom
* polymorph energy (0 for the lowest one): 0 meV per atom

=====

8.
SrZr2Hg after structural relaxation, computed with GGA-PBE.

abc: 3.4696 3.4696 9.0389
angles: 90.00 90.00 90.00
With the nearest neighbours (Å) after each atom.
Element x y z (fractional)
Hg: 0.0000 0.0000 0.4656  4 Zr 3.07, 4 Sr 3.39
Sr: 0.5000 0.5000 0.7241  4 Hg 3.39, 4 Sr 3.47
Zr: 0.0000 0.0000 0.0491  8 Zr 3.11-3.47
Zr: 0.5000 0.5000 0.2612  4 Hg 3.07, 4 Zr 3.11

* DFT formation energy: -0.01 eV/atom

=====

9.
CoAg3Br2Cl6 after structural relaxation, computed with GGA-PBE.

abc: 5.8448 7.3005 7.6612
angles: 118.45 91.65 90.00
With the nearest neighbours (Å) after each atom.
Element x y z (fractional)
Co: 0.5000 0.0000 0.0000  6 Cl 2.24-2.28
Ag: 0.0000 0.5000 0.0000  2 Br 2.65, 4 Cl 2.82
Ag: 0.5000 0.5000 0.5000  2 Br 2.66, 4 Cl 2.73-2.75
Ag: 0.5000 0.0000 0.5000  2 Br 2.66, 4 Cl 2.73-2.75
Br: 0.2062 0.6786 0.3571  3 Ag 2.65-2.66
Br: 0.7938 0.3214 0.6429  3 Ag 2.65-2.66
Cl: 0.7184 0.2968 0.1496  1 Co 2.28
Cl: 0.2816 0.7032 0.8504  1 Co 2.28
Cl: 0.7275 0.8697 0.7395  1 Co 2.24
Cl: 0.2725 0.1303 0.2605  1 Co 2.24
Cl: 0.2816 0.1472 0.8504  1 Co 2.28
Cl: 0.7184 0.8528 0.1496  1 Co 2.28

* DFT total energy: -34.5 eV per formula unit

=====

10.
Co2TePt after structural relaxation, computed with GGA-PBE.

abc: 5.1505 5.1505 5.1505
angles: 46.11 46.11 46.11
With the nearest neighbours (Å) after each atom.
Element x y z (fractional)
Co: 0.9407 0.9407 0.9407  3 Co 2.36, 3 Pt 2.63
Co: 0.3037 0.3037 0.3037  3 Co 2.36
Pt: 0.5183 0.5183 0.5183  6 Co 2.63-2.85, 3 Te 2.81
Te: 0.7374 0.7374 0.7374  7 Co 2.71-2.94, 4 Pt 2.81-3.02

* DFT total energy: -22.6 eV per formula unit

=====

11.
LaMg8Ir4 after structural relaxation, computed with GGA-PBE.

abc: 5.7512 7.1377 7.1377
angles: 80.66 66.24 66.24
With the nearest neighbours (Å) after each atom.
Element x y z (fractional)
La: 0.0000 0.0000 0.0000  4 Mg 3.09
Mg: 0.0000 0.3340 0.6660  4 Ir 2.83, 5 Mg 2.97-3.07, 1 La 3.09
Mg: 0.0000 0.6660 0.3340  4 Ir 2.83, 5 Mg 2.97-3.07, 1 La 3.09
Mg: 0.3340 0.6660 0.6660  4 Ir 2.83, 5 Mg 2.97-3.07, 1 La 3.09
Mg: 0.6660 0.3340 0.3340  4 Ir 2.83, 5 Mg 2.97-3.07, 1 La 3.09
Mg: 0.5000 0.7750 0.2250  4 Ir 2.73, 6 Mg 2.94-3.05
Mg: 0.5000 0.2250 0.7750  4 Ir 2.73, 6 Mg 2.94-3.05
Mg: 0.2750 0.2250 0.2250  4 Ir 2.73, 6 Mg 2.94-3.05
Mg: 0.7250 0.7750 0.7750  4 Ir 2.73, 6 Mg 2.94-3.05
Ir: 0.0000 0.0000 0.5000  8 Mg 2.73-2.83, 2 Ir 2.88
Ir: 0.5000 0.0000 0.5000  8 Mg 2.73-2.83, 2 Ir 2.88
Ir: 0.0000 0.5000 0.0000  8 Mg 2.73-2.83, 2 Ir 2.88
Ir: 0.5000 0.5000 0.0000  8 Mg 2.73-2.83, 2 Ir 2.88

* DFT formation energy: -0.34 eV/atom

=====

12.
TaHgAs2 after structural relaxation, computed with GGA-PBE.

abc: 2.9586 2.9586 9.9192
angles: 90.00 90.00 107.62
With the nearest neighbours (Å) after each atom.
Element x y z (fractional)
As: 0.0000 0.0000 0.9557  2 Ta 2.67, 4 As 2.96
As: 0.5000 0.5000 0.2792  2 Hg 2.90, 4 As 2.96
Hg: 0.0000 0.0000 0.5124  2 As 2.90, 2 Ta 2.95, 4 Hg 2.96
Ta: 0.5000 0.5000 0.7527  2 As 2.67, 2 Hg 2.95, 4 Ta 2.96

* DFT formation energy: 0.26 eV/atom